(1)
Computed, not measured: crystalline PaGaOs at its relaxed geometry at the PBE level of DFT.

Its calculated volume is 65.8 Å³ per cell. For the total energy, the calculation gives -24.32 eV/cell. The space group is F-43m (216). Its spin magnetization is 0.003 μB/cell.

Lattice parameters (Å, degrees): 4.530 4.530 4.530 60.00 60.00 60.00
Sites, in units of the cell vectors:
Pa1 0.000 0.000 0.000
Ga1 0.500 0.500 0.500
Os1 0.750 0.750 0.750

=====

(2)
Computed, not measured: crystalline PaGaOs at its relaxed geometry at the PBE level of DFT.

Its calculated volume is 69.4 Å³ per cell. For the total energy, the calculation gives -22.19 eV/cell. The space group is F-43m (216). Its spin magnetization is 0.001 μB/cell.

Lattice parameters (Å, degrees): 4.612 4.612 4.612 60.00 60.00 60.00
Sites, in units of the cell vectors:
Pa1 0.000 0.000 0.000
Ga1 0.750 0.750 0.750
Os1 0.250 0.250 0.250